Record 1
A geometry-optimized CeReIr structure. Source: the Alexandria database, functional PBE.

**Magnetization**: 0.70 μB per formula unit
**DOS(E_F)**: 26.73 states/eV per cell
**ΔE_f**: 197 meV per atom

Structure (POSCAR):
```
CeReIr
1.0
-6.411 -2.049 -2.295
0.368 -5.778 4.130
-2.620 3.092 4.559
Re Ir Ce
4 4 4
Direct
0.127 0.873 0.250 Re
0.873 0.127 0.750 Re
0.627 0.627 0.500 Re
0.373 0.373 0.000 Re
0.132 0.132 0.000 Ir
0.868 0.868 0.500 Ir
0.368 0.632 0.250 Ir
0.632 0.368 0.750 Ir
0.259 0.741 0.750 Ce
0.759 0.759 0.000 Ce
0.741 0.259 0.250 Ce
0.241 0.241 0.500 Ce
```

=====

Record 2
A geometry-optimized LiNdHg4 structure. Source: the Alexandria database, functional PBE.

**Relative energy among the computed polymorphs**: 90 kJ/mol of formula units
**Magnetization**: 0.00 μB per formula unit
**DOS(E_F)**: 3.84 states/eV per cell
**ΔE_f**: -176 meV per atom

Structure (POSCAR):
```
LiNdHg4
1.0
4.731 0.000 0.000
0.000 4.731 0.000
0.000 0.000 7.296
Hg Nd Li
4 1 1
Direct
0.500 0.000 0.291 Hg
0.000 0.500 0.709 Hg
0.000 0.500 0.291 Hg
0.500 0.000 0.709 Hg
0.000 0.000 0.000 Nd
0.500 0.500 0.500 Li
```

=====

Record 3
A geometry-optimized SrHgPd2 structure. Source: the Alexandria database, functional PBE.

**Magnetization**: 0.00 μB per formula unit
**DOS(E_F)**: 2.87 states/eV per cell
**ΔE_f**: -238 meV per atom

Structure (POSCAR):
```
SrHgPd2
1.0
-3.918 1.688 -2.296
-2.849 -2.421 3.081
-3.526 7.069 6.101
Pd Sr Hg
4 2 2
Direct
0.772 0.125 0.250 Pd
0.978 0.625 0.250 Pd
0.375 0.228 0.750 Pd
0.875 0.022 0.750 Pd
0.250 0.750 0.500 Sr
0.500 0.500 0.000 Sr
0.750 0.250 0.500 Hg
0.000 0.000 0.000 Hg
```

=====

Record 4
A geometry-optimized CaMg2Tc2 structure. Source: the Alexandria database, functional PBE.

**Relative energy among the computed polymorphs**: 102 kJ/mol of formula units
**Magnetization**: 0.00 μB per formula unit
**DOS(E_F)**: 3.49 states/eV per cell
**ΔE_f**: 488 meV per atom

Structure (POSCAR):
```
CaMg2Tc2
1.0
-0.133 -1.597 4.215
4.147 -1.698 -0.513
4.149 3.028 3.691
Mg Tc Ca
2 2 1
Direct
0.750 0.250 0.500 Mg
0.250 0.750 0.500 Mg
0.401 0.401 0.197 Tc
0.599 0.599 0.803 Tc
0.000 0.000 0.000 Ca
```

=====

Record 5
A geometry-optimized Cs2GaIrI6 structure. Source: the Alexandria database, functional PBE.

**Magnetization**: 0.00 μB per formula unit
**DOS(E_F)**: 0.00 states/eV per cell
**Raw formation energy**: -0.7082 eV/atom

Structure (POSCAR):
```
Cs2GaIrI6
1.0
8.316 0.000 0.000
0.000 8.316 0.000
4.158 4.158 5.874
I Ir Cs Ga
6 1 2 1
Direct
0.232 0.232 0.537 I
0.769 0.769 0.000 I
0.231 0.769 0.000 I
0.231 0.231 0.000 I
0.768 0.768 0.463 I
0.769 0.231 0.000 I
0.000 0.000 0.000 Ir
0.250 0.750 0.500 Cs
0.750 0.250 0.500 Cs
0.500 0.500 0.000 Ga
```

=====

Record 6
A geometry-optimized BaReRh structure. Source: the Alexandria database, functional PBE.

**Relative energy among the computed polymorphs**: 587 kJ/mol of formula units
**Magnetization**: 3.30 μB per formula unit
**DOS(E_F)**: 3.18 states/eV per cell
**ΔE_f**: 2151 meV per atom

Structure (POSCAR):
```
BaReRh
1.0
0.000 3.402 3.402
3.402 0.000 3.402
3.402 3.402 0.000
Re Rh Ba
1 1 1
Direct
0.000 0.000 0.000 Re
0.500 0.500 0.500 Rh
0.250 0.250 0.250 Ba
```

=====

Record 7
A geometry-optimized LiMn2HOs structure. Source: the Alexandria database, functional PBE.

**Magnetization**: 4.26 μB per formula unit
**Energy**: -33.8 eV per cell
**DOS(E_F)**: 4.65 states/eV per cell

Structure (POSCAR):
```
LiMn2HOs
1.0
-1.802 -1.126 -3.059
3.087 -1.712 -1.188
-1.028 -3.054 1.730
Os Mn Li H
1 2 1 1
Direct
0.500 0.500 0.500 Os
0.500 0.000 0.000 Mn
0.000 0.500 0.000 Mn
0.000 0.000 0.500 Li
0.000 0.000 0.000 H
```

=====

Record 8
A geometry-optimized RbRePd2S structure. Source: the Alexandria database, functional PBE.

**Magnetization**: 0.00 μB per formula unit
**DOS(E_F)**: 4.54 states/eV per cell
**Raw formation energy**: 0.3336 eV/atom

Structure (POSCAR):
```
RbRePd2S
1.0
5.090 0.000 0.000
0.000 4.514 0.000
0.000 0.000 5.090
Rb Re Pd S
1 1 2 1
Direct
0.500 0.500 0.500 Rb
0.000 0.000 0.000 Re
0.000 0.000 0.500 Pd
0.500 0.000 0.000 Pd
0.000 0.500 0.000 S
```

=====

Record 9
A geometry-optimized Pr2NdAg4 structure. Source: the Alexandria database, functional PBE.

**Magnetization**: 0.00 μB per formula unit
**DOS(E_F)**: 6.71 states/eV per cell
**ΔE_f**: -81 meV per atom

Structure (POSCAR):
```
Pr2NdAg4
1.0
-4.922 2.457 0.470
-1.958 -4.429 2.652
5.261 3.556 4.076
Ag Nd Pr
4 1 2
Direct
0.383 0.883 0.766 Ag
0.883 0.383 0.766 Ag
0.617 0.117 0.234 Ag
0.117 0.617 0.234 Ag
0.000 0.000 0.000 Nd
0.719 0.719 0.438 Pr
0.281 0.281 0.562 Pr
```

=====

Record 10
A geometry-optimized Cs2AcSn2S4 structure. Source: the Alexandria database, functional PBE.

**Magnetization**: 0.00 μB per formula unit
**DOS(E_F)**: 1.08 states/eV per cell
**Raw formation energy**: -1.0903 eV/atom

Structure (POSCAR):
```
Cs2AcSn2S4
1.0
4.519 0.000 0.000
-2.260 9.286 0.019
0.000 -3.332 7.848
Cs S Ac Sn
2 4 1 2
Direct
0.128 0.257 0.579 Cs
0.872 0.743 0.421 Cs
0.832 0.664 0.785 S
0.458 0.916 0.190 S
0.542 0.084 0.810 S
0.168 0.336 0.215 S
0.000 0.000 0.000 Ac
0.317 0.634 0.942 Sn
0.683 0.366 0.058 Sn
```

=====

Record 11
A geometry-optimized PmDy2Ga structure. Source: the Alexandria database, functional PBE.

**Relative energy among the computed polymorphs**: 19 kJ/mol of formula units
**Magnetization**: 0.00 μB per formula unit
**DOS(E_F)**: 5.94 states/eV per cell
**ΔE_f**: -235 meV per atom

Structure (POSCAR):
```
PmDy2Ga
1.0
4.732 0.000 0.000
0.000 4.770 0.000
0.000 0.000 4.770
Ga Dy Pm
1 2 1
Direct
0.500 0.000 0.000 Ga
0.000 0.500 0.000 Dy
0.000 0.000 0.500 Dy
0.500 0.500 0.500 Pm
```

=====

Record 12
A geometry-optimized Zr2NbTc4 structure. Source: the Alexandria database, functional PBE.

**Magnetization**: 0.05 μB per formula unit
**DOS(E_F)**: 10.58 states/eV per cell
**ΔE_f**: 294 meV per atom

Structure (POSCAR):
```
Zr2NbTc4
1.0
5.192 -0.062 -1.865
-2.606 4.523 -1.786
-0.036 0.062 5.516
Zr Tc Nb
2 4 1
Direct
0.500 0.000 0.500 Zr
0.500 0.500 0.000 Zr
0.000 0.000 0.500 Tc
0.500 0.000 0.000 Tc
0.000 0.500 0.000 Tc
0.500 0.500 0.500 Tc
0.000 0.000 0.000 Nb
```

=====

Record 13
A geometry-optimized BiRuN2O structure. Source: the Alexandria database, functional PBE.

**Magnetization**: 0.00 μB per formula unit
**DOS(E_F)**: 1.91 states/eV per cell
**Raw formation energy**: 0.3823 eV/atom

Structure (POSCAR):
```
BiRuN2O
1.0
3.853 0.000 0.000
0.000 3.853 0.000
0.000 0.000 4.264
O Ru N Bi
1 1 2 1
Direct
0.000 0.000 0.500 O
0.000 0.000 0.000 Ru
0.000 0.500 0.000 N
0.500 0.000 0.000 N
0.500 0.500 0.500 Bi
```

=====

Record 14
A geometry-optimized Ce2MoC3 structure. Source: the Alexandria database, functional PBE.

**Magnetization**: 0.38 μB per formula unit
**DOS(E_F)**: 13.02 states/eV per cell
**ΔE_f**: -70 meV per atom

Structure (POSCAR):
```
Ce2MoC3
1.0
5.465 -0.307 -0.219
0.331 5.897 0.007
0.331 1.933 5.571
Mo C Ce
2 6 4
Direct
0.750 0.911 0.089 Mo
0.250 0.089 0.911 Mo
0.250 0.368 0.632 C
0.500 0.161 0.161 C
0.000 0.161 0.161 C
0.000 0.839 0.839 C
0.500 0.839 0.839 C
0.750 0.632 0.368 C
0.750 0.495 0.826 Ce
0.750 0.174 0.505 Ce
0.250 0.505 0.174 Ce
0.250 0.826 0.495 Ce
```

=====

Record 15
A geometry-optimized LiNpPO6 structure. Source: the Alexandria database, functional PBE.

**Magnetization**: 1.00 μB per formula unit
**DOS(E_F)**: 1.42 states/eV per cell
**Raw formation energy**: -2.1639 eV/atom

Structure (POSCAR):
```
LiNpPO6
1.0
5.112 0.000 0.000
-2.556 4.427 0.000
0.000 0.000 9.158
O P Li Np
12 2 2 2
Direct
0.947 0.611 0.357 O
0.336 0.389 0.857 O
0.611 0.664 0.643 O
0.389 0.053 0.143 O
0.336 0.947 0.643 O
0.947 0.336 0.143 O
0.053 0.389 0.643 O
0.389 0.336 0.357 O
0.053 0.664 0.857 O
0.664 0.053 0.357 O
0.664 0.611 0.143 O
0.611 0.947 0.857 O
0.333 0.667 0.750 P
0.667 0.333 0.250 P
0.000 0.000 0.000 Li
0.000 0.000 0.500 Li
0.667 0.333 0.750 Np
0.333 0.667 0.250 Np
```

=====

Record 16
A geometry-optimized CdSCl2 structure. Source: the Alexandria database, functional PBE.

**Relative energy among the computed polymorphs**: 128 kJ/mol of formula units
**Magnetization**: 2.00 μB per formula unit
**DOS(E_F)**: 0.89 states/eV per cell
**Raw formation energy**: 0.2389 eV/atom

Structure (POSCAR):
```
CdSCl2
1.0
2.282 0.000 10.220
-1.141 1.976 10.220
-1.141 -1.976 10.220
Cd S Cl
1 1 2
Direct
0.000 0.000 0.000 Cd
0.500 0.500 0.500 S
0.074 0.074 0.074 Cl
0.926 0.926 0.926 Cl
```

=====

Record 17
A geometry-optimized TmUTe4 structure. Source: the Alexandria database, functional PBE.

**Relative energy among the computed polymorphs**: 0 kJ/mol of formula units
**Magnetization**: 2.27 μB per formula unit
**DOS(E_F)**: 5.38 states/eV per cell
**Raw formation energy**: -0.9093 eV/atom

Structure (POSCAR):
```
TmUTe4
1.0
7.938 -0.024 0.022
4.491 6.546 -0.022
-5.587 -4.457 3.456
Te U Tm
4 1 1
Direct
0.705 0.205 0.500 Te
0.750 0.499 0.251 Te
0.247 0.499 0.749 Te
0.296 0.796 0.500 Te
0.864 0.864 0.000 U
0.138 0.138 0.000 Tm
```

=====

Record 18
A geometry-optimized Mg3BS structure. Source: the Alexandria database, functional PBE.

**Relative energy among the computed polymorphs**: 0 kJ/mol of formula units
**Magnetization**: 0.81 μB per formula unit
**DOS(E_F)**: 3.36 states/eV per cell
**Raw formation energy**: -0.0773 eV/atom

Structure (POSCAR):
```
Mg3BS
1.0
-3.445 0.780 -2.780
-2.881 -0.631 3.393
0.199 4.382 0.984
Mg S B
3 1 1
Direct
0.000 0.000 0.500 Mg
0.500 0.000 0.000 Mg
0.000 0.500 0.000 Mg
0.500 0.500 0.500 S
0.000 0.000 0.000 B
```

=====

Record 19
A geometry-optimized Ac6Ir2PdI2 structure. Source: the Alexandria database, functional PBE.

**Magnetization**: 0.00 μB per formula unit
**DOS(E_F)**: 6.43 states/eV per cell
**Raw formation energy**: -0.8860 eV/atom

Structure (POSCAR):
```
Ac6Ir2PdI2
1.0
7.668 -0.013 0.086
-3.802 6.660 0.086
-1.360 -2.337 8.476
I Ac Ir Pd
2 6 2 1
Direct
0.166 0.834 0.000 I
0.834 0.166 0.000 I
0.715 0.715 0.686 Ac
0.936 0.596 0.314 Ac
0.064 0.404 0.686 Ac
0.285 0.285 0.314 Ac
0.404 0.064 0.686 Ac
0.596 0.936 0.314 Ac
0.331 0.669 0.500 Ir
0.669 0.331 0.500 Ir
0.000 0.000 0.500 Pd
```

=====

Record 20
A geometry-optimized Tl2IBr3 structure. Source: the Alexandria database, functional PBE.

**Magnetization**: 0.00 μB per formula unit
**DOS(E_F)**: 0.00 states/eV per cell
**Raw formation energy**: -0.5940 eV/atom

Structure (POSCAR):
```
Tl2IBr3
1.0
9.059 0.000 0.000
-4.529 6.942 -3.531
0.000 -0.955 8.599
Tl Br I
4 6 2
Direct
0.561 0.742 0.370 Tl
0.818 0.258 0.130 Tl
0.439 0.258 0.630 Tl
0.182 0.742 0.870 Tl
0.210 0.420 0.460 Br
0.790 0.580 0.540 Br
0.790 0.580 0.040 Br
0.210 0.420 0.960 Br
0.502 0.000 0.750 Br
0.498 0.000 0.250 Br
0.000 0.000 0.750 I
0.000 0.000 0.250 I
```